! BaCoNiF6 (GGA+U, relaxed); values from VASP
! ρ	4.72	g/cm3
! SG	No. 74
! spin magnetization	5.00	μB/f.u.
! calculated total energy	-4.89	eV per atom
&SYSTEM
  ibrav = 0, nat = 18, ntyp = 4
/
ATOMIC_SPECIES
Ba 137.33 Ba.upf
Co 58.93 Co.upf
Ni 58.69 Ni.upf
F 19.00 F.upf
CELL_PARAMETERS angstrom
-3.468 3.622 5.165
3.468 -3.622 5.165
3.468 3.622 -5.165
ATOMIC_POSITIONS crystal
Ba 0.416 0.166 0.250
Ba 0.584 0.834 0.750
Co 0.000 0.500 0.500
Co 0.500 0.500 0.000
Ni 0.000 0.000 0.500
Ni 0.000 0.500 0.000
F 0.106 0.856 0.250
F 0.141 0.391 0.750
F 0.177 0.434 0.343
F 0.177 0.835 0.744
F 0.409 0.165 0.843
F 0.409 0.566 0.244
F 0.591 0.434 0.756
F 0.591 0.835 0.157
F 0.823 0.165 0.256
F 0.823 0.566 0.657
F 0.859 0.609 0.250
F 0.894 0.144 0.750